Computed, not measured: a geometry-optimized Ac2LaCoO8 structure at the GGA+U level of DFT.

Unit cell a=5.5054 b=5.5054 c=6.4959 alpha=90.00 beta=90.00 gamma=120.00
Last column: nearest neighbours and their distance in Å.
Positions (direct):
O  0.3333  0.6667  0.5193  1 Ac 2.20
O  0.3130  0.1565  0.8299  1 Co 1.86
O  0.1565  0.8435  0.1701  1 Co 1.86
O  0.1565  0.3130  0.1701  1 Co 1.86
O  0.6667  0.3333  0.4807  1 Ac 2.20
O  0.8435  0.1565  0.8299  1 Co 1.86
O  0.6870  0.8435  0.1701  1 Co 1.86
O  0.8435  0.6870  0.8299  1 Co 1.86
Ac  0.6667  0.3333  0.1413  1 O 2.20
Ac  0.3333  0.6667  0.8587  1 O 2.20
Co  0.0000  0.0000  0.0000  6 O 1.86
La  0.0000  0.0000  0.5000  6 O 2.61

Summary:
magnetization	4.03	μB/f.u.
symmetry	P-3m1, No. 164
E_tot	-6.831	eV/atom
ρ	7.59	g cm⁻³